Record 1
# LaPm2Nd | Alexandria via LeMat-Bulk | PBE | relaxed
data_LaPm2Nd
_chemical_formula_sum 'La3 Pm6 Nd3'
_cell_length_a 3.6860
_cell_length_b 3.6860
_cell_length_c 36.0400
_cell_angle_alpha 90.00
_cell_angle_beta 90.00
_cell_angle_gamma 120.00
_space_group_name_H-M_alt 'R -3 m'
_space_group_IT_number 166
_space_group_name_Hall '-R 3 2"'
loop_
_atom_site_label
_atom_site_fract_x
_atom_site_fract_y
_atom_site_fract_z
_atom_site_occupancy
La1 0.0000 0.0000 0.0000 1
Pm1 0.0000 0.0000 0.2493 1
Nd1 0.0000 0.0000 0.5000 1
# Raw total energy, eV per atom: -4.79
# Calculated formation energy, eV/atom: 0.013
# DOS at the Fermi energy, states/eV/cell: 18.43
# ΔE to the lowest computed polymorph, eV per atom: 0.017



Record 2
# HfMgZrW | Alexandria via LeMat-Bulk | PBE | relaxed
data_HfMgZrW
_chemical_formula_sum 'Hf4 Mg4 Zr4 W4'
_cell_length_a 6.809
_cell_length_b 6.809
_cell_length_c 6.809
_cell_angle_alpha 90.00
_cell_angle_beta 90.00
_cell_angle_gamma 90.00
_space_group_name_H-M_alt 'F -4 3 m'
_space_group_IT_number 216
_space_group_name_Hall 'F -4 2 3'
loop_
_atom_site_label
_atom_site_fract_x
_atom_site_fract_y
_atom_site_fract_z
_atom_site_occupancy
Hf1 0.000 0.000 0.000 1
Mg1 0.250 0.250 0.750 1
Zr1 0.000 0.000 0.500 1
W1 0.250 0.250 0.250 1
# Raw total energy, eV per atom: -8.15
# Calculated formation energy, eV/atom: 0.117
# DOS at the Fermi energy, states/eV/cell: 18.42



Record 3
# SrCaMgHg2 | Alexandria via LeMat-Bulk | PBE | relaxed
data_SrCaMgHg2
_chemical_formula_sum 'Sr1 Ca1 Mg1 Hg2'
_cell_length_a 4.8942
_cell_length_b 4.8942
_cell_length_c 8.0012
_cell_angle_alpha 90.00
_cell_angle_beta 90.00
_cell_angle_gamma 120.00
_space_group_name_H-M_alt 'P 3 m 1'
_space_group_IT_number 156
_space_group_name_Hall 'P 3 -2"'
loop_
_atom_site_label
_atom_site_fract_x
_atom_site_fract_y
_atom_site_fract_z
_atom_site_occupancy
Sr1 0.0000 0.0000 0.0000 1
Ca1 0.6667 0.3333 0.4014 1
Mg1 0.3333 0.6667 0.6810 1
Hg1 0.3333 0.6667 0.2345 1
Hg2 0.6667 0.3333 0.7830 1
# Raw total energy, eV per atom: -1.47
# Calculated formation energy, eV/atom: -0.297
# DOS at the Fermi energy, states/eV/cell: 3.76
# ΔE to the lowest computed polymorph, eV per atom: 0.000



Record 4
# MnTeSeBr2 | Alexandria via LeMat-Bulk | PBE | relaxed
data_MnTeSeBr2
_chemical_formula_sum 'Mn1 Te1 Se1 Br2'
_cell_length_a 4.892
_cell_length_b 4.892
_cell_length_c 4.789
_cell_angle_alpha 90.00
_cell_angle_beta 90.00
_cell_angle_gamma 90.00
_space_group_name_H-M_alt 'P 4/m m m'
_space_group_IT_number 123
_space_group_name_Hall '-P 4 2'
loop_
_atom_site_label
_atom_site_fract_x
_atom_site_fract_y
_atom_site_fract_z
_atom_site_occupancy
Mn1 0.000 0.000 0.000 1
Te1 0.500 0.500 0.500 1
Se1 0.000 0.000 0.500 1
Br1 0.000 0.500 0.000 1
# Raw total energy, eV per atom: -3.53
# DOS at the Fermi energy, states/eV/cell: 6.58
# ΔE to the lowest computed polymorph, eV per atom: 0.000



Record 5
# PmPaCl | Alexandria via LeMat-Bulk | PBE | relaxed
data_PmPaCl
_chemical_formula_sum 'Pm2 Pa2 Cl2'
_cell_length_a 3.300
_cell_length_b 5.219
_cell_length_c 12.462
_cell_angle_alpha 90.00
_cell_angle_beta 90.00
_cell_angle_gamma 90.00
_space_group_name_H-M_alt 'P m m n'
_space_group_IT_number 59
loop_
_space_group_symop_operation_xyz
'x,y,z'
'-x,-y,-z'
'-x+1/2,-y+1/2,z'
'x+1/2,y+1/2,-z'
'x+1/2,-y,-z'
'-x+1/2,y,z'
'-x,y+1/2,-z'
'x,-y+1/2,z'
loop_
_atom_site_label
_atom_site_fract_x
_atom_site_fract_y
_atom_site_fract_z
_atom_site_occupancy
Pm1 0.250 0.250 0.061 1
Pa1 0.250 0.750 0.211 1
Cl1 0.250 0.250 0.615 1
# Raw total energy, eV per atom: -5.48
# DOS at the Fermi energy, states/eV/cell: 11.32



Record 6
# Sm3Cd4 | Alexandria via LeMat-Bulk | PBE | relaxed
data_Sm3Cd4
_chemical_formula_sum 'Sm9 Cd12'
_cell_length_a 5.2878
_cell_length_b 5.2878
_cell_length_c 25.9106
_cell_angle_alpha 90.00
_cell_angle_beta 90.00
_cell_angle_gamma 120.00
_space_group_name_H-M_alt 'R -3 m'
_space_group_IT_number 166
_space_group_name_Hall '-R 3 2"'
loop_
_atom_site_label
_atom_site_fract_x
_atom_site_fract_y
_atom_site_fract_z
_atom_site_occupancy
Sm1 0.0000 0.0000 0.0000 1
Sm2 0.0000 0.0000 0.2487 1
Cd1 0.0000 0.0000 0.1258 1
Cd2 0.0000 0.0000 0.3809 1
# Raw total energy, eV per atom: -2.67
# Calculated formation energy, eV/atom: -0.123
# DOS at the Fermi energy, states/eV/cell: 24.21



Record 7
# Tl2CrSe | Alexandria via LeMat-Bulk | PBE | relaxed
data_Tl2CrSe
_chemical_formula_sum 'Tl6 Cr3 Se3'
_cell_length_a 3.5334
_cell_length_b 3.5334
_cell_length_c 28.2626
_cell_angle_alpha 90.00
_cell_angle_beta 90.00
_cell_angle_gamma 120.00
_space_group_name_H-M_alt 'R 3 m'
_space_group_IT_number 160
_space_group_name_Hall 'R 3 -2"'
loop_
_atom_site_label
_atom_site_fract_x
_atom_site_fract_y
_atom_site_fract_z
_atom_site_occupancy
Tl1 0.0000 0.0000 0.0000 1
Tl2 0.0000 0.0000 0.2351 1
Cr1 0.0000 0.0000 0.4893 1
Se1 0.0000 0.0000 0.7763 1
# Raw total energy, eV per atom: -4.48
# DOS at the Fermi energy, states/eV/cell: 5.85
# ΔE to the lowest computed polymorph, eV per atom: 0.000



Record 8
# Re2AuSe | Alexandria via LeMat-Bulk | PBE | relaxed
data_Re2AuSe
_chemical_formula_sum 'Re4 Au2 Se2'
_cell_length_a 4.149
_cell_length_b 4.149
_cell_length_c 7.571
_cell_angle_alpha 90.00
_cell_angle_beta 90.00
_cell_angle_gamma 90.00
_space_group_name_H-M_alt 'I -4 m 2'
_space_group_IT_number 119
_space_group_name_Hall 'I -4 -2'
loop_
_atom_site_label
_atom_site_fract_x
_atom_site_fract_y
_atom_site_fract_z
_atom_site_occupancy
Re1 0.000 0.000 0.000 1
Re2 0.000 0.500 0.250 1
Au1 0.000 0.000 0.500 1
Se1 0.000 0.500 0.750 1
# Raw total energy, eV per atom: -7.05
# DOS at the Fermi energy, states/eV/cell: 6.41